Compound: NbReSn
Source: the Alexandria database
Functional: PBE
Structure: optimized geometry

Summary:
Total magnetic moment (μB per formula unit): 0.000
Uncorrected energy (eV/cell): -106.57
Mass density (Mg/m³): 11.273
Formation enthalpy at 0 K (eV/atom): -0.041

a = 3.1912 Å, b = 3.1912 Å, c = 23.0168 Å
α = 90.00°, β = 90.00°, γ = 90.00°
Space group I4/mmm (No. 139)
Unique sites:
Nb 0.0000 0.0000 0.1488 (multiplicity 4)
Re 0.0000 0.0000 0.2850 (multiplicity 4)
Sn 0.0000 0.0000 0.4372 (multiplicity 4)



Compound: Nb12ReSn3
Source: the Alexandria database
Functional: PBE
Structure: optimized geometry

Summary:
Total magnetic moment (μB per formula unit): 0.000
Uncorrected energy (eV/cell): -148.50
Mass density (Mg/m³): 9.279
Formation enthalpy at 0 K (eV/atom): -0.201

a = 5.2948 Å, b = 5.2956 Å, c = 10.5766 Å
α = 90.00°, β = 90.00°, γ = 90.00°
Space group Pmmm (No. 47)
Unique sites:
Nb 0.0000 0.0000 0.1178 (multiplicity 2)
Nb 0.0000 0.0000 0.3716 (multiplicity 2)
Nb 0.2440 0.5000 0.2411 (multiplicity 4)
Nb 0.5000 0.2468 0.5000 (multiplicity 2)
Nb 0.5000 0.2574 0.0000 (multiplicity 2)
Re 0.0000 0.5000 0.0000 (multiplicity 1)
Sn 0.0000 0.5000 0.5000 (multiplicity 1)
Sn 0.5000 0.0000 0.2504 (multiplicity 2)



Compound: Nb14ReSn
Source: the Alexandria database
Functional: PBE
Structure: optimized geometry

Summary:
Total magnetic moment (μB per formula unit): 0.000
Uncorrected energy (eV/cell): -158.68
Mass density (Mg/m³): 9.152
Formation enthalpy at 0 K (eV/atom): -0.078

a = 6.6332 Å, b = 6.6332 Å, c = 6.6210 Å
α = 90.00°, β = 90.00°, γ = 90.00°
Space group P4/mmm (No. 123)
Unique sites:
Nb 0.0000 0.0000 0.0000 (multiplicity 1)
Nb 0.0000 0.5000 0.0000 (multiplicity 2)
Nb 0.0000 0.5000 0.5000 (multiplicity 2)
Nb 0.2420 0.2420 0.2505 (multiplicity 8)
Nb 0.5000 0.5000 0.0000 (multiplicity 1)
Re 0.0000 0.0000 0.5000 (multiplicity 1)
Sn 0.5000 0.5000 0.5000 (multiplicity 1)



Compound: NbRe3Sn
Source: the Alexandria database
Functional: PBE
Structure: optimized geometry

Summary:
Total magnetic moment (μB per formula unit): 2.876
Uncorrected energy (eV/cell): -40.49
Mass density (Mg/m³): 11.439
Relative energy among the computed polymorphs (meV per atom): 0
Formation enthalpy at 0 K (eV/atom): 2.186

a = 4.8176 Å, b = 4.8176 Å, c = 4.8176 Å
α = 90.00°, β = 90.00°, γ = 90.00°
Space group Pm-3m (No. 221)
Unique sites:
Nb 0.0000 0.0000 0.0000 (multiplicity 1)
Re 0.0000 0.0000 0.5000 (multiplicity 3)
Sn 0.5000 0.5000 0.5000 (multiplicity 1)



Compound: Sr2NbReSn
Source: the Alexandria database
Functional: PBE
Structure: optimized geometry

Summary:
Total magnetic moment (μB per formula unit): 5.021
Uncorrected energy (eV/cell): -23.66
Mass density (Mg/m³): 5.584
Formation enthalpy at 0 K (eV/atom): 1.244

a = 5.7300 Å, b = 5.7300 Å, c = 5.1908 Å
α = 90.00°, β = 90.00°, γ = 90.00°
Space group P4/mmm (No. 123)
Unique sites:
Sr 0.0000 0.5000 0.0000 (multiplicity 2)
Nb 0.0000 0.0000 0.5000 (multiplicity 1)
Re 0.5000 0.5000 0.0000 (multiplicity 1)
Sn 0.5000 0.5000 0.5000 (multiplicity 1)



Compound: Sr3NbRe
Source: the Alexandria database
Functional: PBE
Structure: optimized geometry

Summary:
Total magnetic moment (μB per formula unit): 5.281
Uncorrected energy (eV/cell): -17.97
Mass density (Mg/m³): 4.712
Relative energy among the computed polymorphs (meV per atom): 422
Formation enthalpy at 0 K (eV/atom): 1.919

a = 5.7589 Å, b = 5.7589 Å, c = 5.7589 Å
α = 90.00°, β = 90.00°, γ = 90.00°
Space group Pm-3m (No. 221)
Unique sites:
Sr 0.0000 0.0000 0.5000 (multiplicity 3)
Nb 0.0000 0.0000 0.0000 (multiplicity 1)
Re 0.5000 0.5000 0.5000 (multiplicity 1)



Compound: Sr2NbRe
Source: the Alexandria database
Functional: PBE
Structure: optimized geometry

Summary:
Total magnetic moment (μB per formula unit): 0.001
Uncorrected energy (eV/cell): -77.26
Mass density (Mg/m³): 7.391
Relative energy among the computed polymorphs (meV per atom): 558
Formation enthalpy at 0 K (eV/atom): 1.642

a = 7.4188 Å, b = 7.4188 Å, c = 7.4188 Å
α = 90.00°, β = 90.00°, γ = 90.00°
Space group Fm-3m (No. 225)
Unique sites:
Sr 0.2500 0.2500 0.2500 (multiplicity 8)
Nb 0.0000 0.0000 0.0000 (multiplicity 4)
Re 0.0000 0.0000 0.5000 (multiplicity 4)



Compound: Sr2NbRe
Source: the Alexandria database
Functional: PBE
Structure: optimized geometry

Summary:
Total magnetic moment (μB per formula unit): 0.328
Uncorrected energy (eV/cell): -86.19
Mass density (Mg/m³): 4.618
Relative energy among the computed polymorphs (meV per atom): 0
Formation enthalpy at 0 K (eV/atom): 1.084

a = 11.7674 Å, b = 11.7674 Å, c = 4.7192 Å
α = 90.00°, β = 90.00°, γ = 90.00°
Space group I-42d (No. 122)
Unique sites:
Sr 0.0836 0.2500 0.1250 (multiplicity 8)
Nb 0.0000 0.0000 0.5000 (multiplicity 4)
Re 0.0000 0.0000 0.0000 (multiplicity 4)